1.
Here is a PBEsol-optimized structure of Y3Co6Sn5 from Alexandria. Energies are from SCAN.

Geometry as POSCAR:
```
Y3Co6Sn5
1.0
-2.129 4.730 6.058
2.129 -4.730 6.058
2.129 4.730 -6.058
Y Co Sn
3 6 5
direct
0.000 0.000 0.000
0.317 0.317 0.000
0.683 0.683 0.000
0.166 0.893 0.273
0.307 0.500 0.807
0.380 0.107 0.273
0.620 0.893 0.727
0.693 0.500 0.193
0.834 0.107 0.727
0.017 0.676 0.340
0.336 0.676 0.660
0.500 0.000 0.500
0.664 0.324 0.340
0.983 0.324 0.660
```

energy of formation from the pure elements = -355.9 meV/atom

---

2.
Here is a PBEsol-optimized structure of SrCaSb2 from Alexandria. Energies are from SCAN.

Geometry as POSCAR:
```
SrCaSb2
1.0
8.606 0.000 0.000
0.000 8.606 0.000
0.000 0.000 6.802
Sr Ca Sb
4 4 8
direct
0.000 0.000 0.000
0.000 0.500 0.250
0.500 0.000 0.750
0.500 0.500 0.500
0.000 0.000 0.500
0.000 0.500 0.750
0.500 0.000 0.250
0.500 0.500 0.000
0.235 0.250 0.625
0.250 0.735 0.875
0.250 0.765 0.375
0.265 0.250 0.125
0.735 0.750 0.125
0.750 0.235 0.375
0.750 0.265 0.875
0.765 0.750 0.625
```

polymorph energy (0 for the lowest one) = 0.74 eV per formula unit
formation energy (no corrections) = -0.756 eV per atom

---

3.
Here is a PBEsol-optimized structure of Rb2BaRe from Alexandria. Energies are from SCAN.

Geometry as POSCAR:
```
Rb2BaRe
1.0
8.418 0.000 0.000
0.000 8.418 0.000
0.000 0.000 8.418
Rb Ba Re
8 4 4
direct
0.250 0.250 0.250
0.250 0.250 0.750
0.250 0.750 0.250
0.250 0.750 0.750
0.750 0.250 0.250
0.750 0.250 0.750
0.750 0.750 0.250
0.750 0.750 0.750
0.000 0.000 0.000
0.000 0.500 0.500
0.500 0.000 0.500
0.500 0.500 0.000
0.000 0.000 0.500
0.000 0.500 0.000
0.500 0.000 0.000
0.500 0.500 0.500
```

energy of formation from the pure elements = 1544.5 meV/atom

---

> What is the formula in the third record?

Rb2BaRe

---

> What is the formula in the first record?

Y3Co6Sn5